#P
Here is a geometry-optimized Pu2TePt structure from the Alexandria database. Energies are from PBE.

D(E_F)	23.32	states/eV per cell
space-group type	R3m (160)
total magnetization	0.174	μB/cell
volume	27.9	Å³/atom

Lattice parameters (Å, degrees): 8.0099 8.0099 8.0099 29.71 29.71 29.71
Atoms (fractional coordinates):
Pu (0.0000, 0.0000, 0.0000)
Pu (0.1894, 0.1894, 0.1894)
Te (0.4279, 0.4279, 0.4279)
Pt (0.5949, 0.5949, 0.5949)

***

#Q
Here is a geometry-optimized Pu2TePt structure from the Alexandria database. Energies are from PBE.

D(E_F)	19.94	states/eV per cell
space-group type	R-3m (166)
total magnetization	11.304	μB/cell
volume	27.8	Å³/atom

Lattice parameters (Å, degrees): 7.6838 7.6838 7.6838 31.68 31.68 31.68
Atoms (fractional coordinates):
Pu (0.2394, 0.2394, 0.2394)
Pu (0.7606, 0.7606, 0.7606)
Te (0.0000, 0.0000, 0.0000)
Pt (0.5000, 0.5000, 0.5000)

***

#R
Here is a geometry-optimized Pu2TePt structure from the Alexandria database. Energies are from PBE.

D(E_F)	15.46	states/eV per cell
space-group type	Fm-3m (225)
total magnetization	12.008	μB/cell
volume	24.5	Å³/atom

Lattice parameters (Å, degrees): 5.1739 5.1739 5.1739 60.00 60.00 60.00
Atoms (fractional coordinates):
Pu (0.2500, 0.2500, 0.2500)
Pu (0.7500, 0.7500, 0.7500)
Te (0.0000, 0.0000, 0.0000)
Pt (0.5000, 0.5000, 0.5000)

***

Q: What are the energies relative to the best structure? A: #P 9.1; #Q 0.0; #R 12.6, in kJ/mol of atoms.